# 1
{"formula": "NpNCl", "functional": "PBE", "state": "relaxed", "lattice_angstrom": [[6.999, 0.000, 0.000], [0.000, 3.747, 0.000], [0.000, 0.000, 8.468]], "species": ["Np", "Np", "Np", "Np", "N", "N", "N", "N", "Cl", "Cl", "Cl", "Cl"], "frac_coords": [[0.171, 0.250, 0.093], [0.329, 0.750, 0.593], [0.671, 0.250, 0.407], [0.829, 0.750, 0.907], [0.127, 0.750, 0.968], [0.373, 0.250, 0.468], [0.627, 0.750, 0.532], [0.873, 0.250, 0.032], [0.032, 0.750, 0.338], [0.468, 0.250, 0.838], [0.532, 0.750, 0.162], [0.968, 0.250, 0.662]], "rho_g_cm3": 8.567, "formation_energy_uncorrected_mev_per_atom": -1272.8}

# 2
{"formula": "NpN2Cl5", "functional": "PBE", "state": "relaxed", "lattice_angstrom": [[5.339, 0.000, 0.000], [2.426, 7.767, 0.000], [2.664, 0.054, 7.849]], "species": ["Np", "N", "N", "Cl", "Cl", "Cl", "Cl", "Cl"], "frac_coords": [[0.000, 0.000, 0.000], [0.331, 0.501, 0.344], [0.675, 0.503, 0.656], [0.145, 0.683, 0.999], [0.155, 0.003, 0.686], [0.500, 0.000, 0.000], [0.845, 0.997, 0.314], [0.855, 0.317, 0.001]], "rho_g_cm3": 2.257, "formation_energy_uncorrected_mev_per_atom": 226.0}

# 3
{"formula": "NpNCl", "functional": "PBE", "state": "relaxed", "lattice_angstrom": [[3.735, 0.000, 0.000], [-1.868, 3.235, 0.000], [0.000, 0.000, 4.647]], "species": ["Np", "N", "Cl"], "frac_coords": [[0.000, 0.000, 0.000], [0.333, 0.667, 0.000], [0.667, 0.333, 0.500]], "rho_g_cm3": 8.471, "formation_energy_uncorrected_mev_per_atom": -1171.0}

# 4
{"formula": "NpNCl", "functional": "PBE", "state": "relaxed", "lattice_angstrom": [[3.207, 0.000, 0.000], [0.000, 3.207, 0.000], [0.000, 0.000, 10.263]], "species": ["Np", "Np", "N", "N", "Cl", "Cl"], "frac_coords": [[0.000, 0.000, 0.000], [0.500, 0.500, 0.500], [0.000, 0.000, 0.543], [0.500, 0.500, 0.043], [0.000, 0.000, 0.272], [0.500, 0.500, 0.772]], "rho_g_cm3": 9.011, "formation_energy_uncorrected_mev_per_atom": -978.2}

# 5
{"formula": "NpN2Cl4", "functional": "PBE", "state": "relaxed", "lattice_angstrom": [[2.464, 1.423, 11.180], [-2.464, 1.423, 11.180], [0.000, -2.846, 11.180]], "species": ["Np", "N", "N", "Cl", "Cl", "Cl", "Cl"], "frac_coords": [[0.000, 0.000, 0.000], [0.202, 0.202, 0.202], [0.798, 0.798, 0.798], [0.074, 0.074, 0.074], [0.318, 0.318, 0.318], [0.682, 0.682, 0.682], [0.926, 0.926, 0.926]], "rho_g_cm3": 2.872, "formation_energy_uncorrected_mev_per_atom": 382.2}

# 6
{"formula": "Np2SNCl2", "functional": "PBE", "state": "relaxed", "lattice_angstrom": [[3.820, 0.000, 0.000], [0.000, 10.878, 0.000], [0.000, 0.000, 7.013]], "species": ["Np", "Np", "Np", "Np", "S", "S", "N", "N", "Cl", "Cl", "Cl", "Cl"], "frac_coords": [[0.000, 0.063, 0.000], [0.000, 0.937, 0.500], [0.500, 0.223, 0.396], [0.500, 0.777, 0.896], [0.500, 0.070, 0.694], [0.500, 0.930, 0.194], [0.000, 0.125, 0.333], [0.000, 0.875, 0.833], [0.000, 0.390, 0.510], [0.000, 0.610, 0.010], [0.500, 0.270, 0.020], [0.500, 0.730, 0.520]], "rho_g_cm3": 6.734, "formation_energy_uncorrected_mev_per_atom": -1496.3}

# 7
{"formula": "Os2N4Cl10O", "functional": "PBE", "state": "relaxed", "lattice_angstrom": [[-3.705, 3.705, 8.345], [3.705, -3.705, 8.345], [3.705, 3.705, -8.345]], "species": ["Os", "Os", "N", "N", "N", "N", "Cl", "Cl", "Cl", "Cl", "Cl", "Cl", "Cl", "Cl", "Cl", "Cl", "O"], "frac_coords": [[0.111, 0.111, 0.000], [0.889, 0.889, 0.000], [0.000, 0.500, 0.500], [0.250, 0.750, 0.500], [0.500, 0.000, 0.500], [0.750, 0.250, 0.500], [0.109, 0.109, 0.440], [0.109, 0.669, 0.000], [0.247, 0.247, 0.000], [0.331, 0.331, 0.440], [0.331, 0.891, 0.000], [0.669, 0.109, 0.000], [0.669, 0.669, 0.560], [0.753, 0.753, 0.000], [0.891, 0.331, 0.000], [0.891, 0.891, 0.560], [0.000, 0.000, 0.000]], "rho_g_cm3": 2.925, "formation_energy_uncorrected_mev_per_atom": 895.6}

# 8
{"formula": "Pr4Si4N7ClO3", "functional": "PBE", "state": "relaxed", "lattice_angstrom": [[10.428, 0.000, 0.000], [0.000, 10.494, 0.000], [0.000, 0.000, 10.609]], "species": ["Pr", "Pr", "Pr", "Pr", "Pr", "Pr", "Pr", "Pr", "Pr", "Pr", "Pr", "Pr", "Pr", "Pr", "Pr", "Pr", "Si", "Si", "Si", "Si", "Si", "Si", "Si", "Si", "Si", "Si", "Si", "Si", "Si", "Si", "Si", "Si", "N", "N", "N", "N", "N", "N", "N", "N", "N", "N", "N", "N", "N", "N", "N", "N", "N", "N", "N", "N", "N", "N", "N", "N", "N", "N", "N", "N", "Cl", "Cl", "Cl", "Cl", "O", "O", "O", "O", "O", "O", "O", "O", "O", "O", "O", "O"], "frac_coords": [[0.046, 0.183, 0.311], [0.106, 0.894, 0.900], [0.182, 0.813, 0.545], [0.192, 0.552, 0.822], [0.308, 0.448, 0.322], [0.318, 0.187, 0.045], [0.394, 0.106, 0.400], [0.454, 0.817, 0.811], [0.546, 0.317, 0.689], [0.606, 0.606, 0.100], [0.682, 0.687, 0.455], [0.692, 0.948, 0.178], [0.808, 0.052, 0.678], [0.818, 0.313, 0.955], [0.894, 0.394, 0.600], [0.954, 0.683, 0.189], [0.072, 0.429, 0.071], [0.082, 0.259, 0.805], [0.195, 0.917, 0.257], [0.245, 0.698, 0.077], [0.255, 0.302, 0.577], [0.305, 0.083, 0.757], [0.418, 0.741, 0.305], [0.428, 0.571, 0.571], [0.572, 0.071, 0.929], [0.582, 0.241, 0.195], [0.695, 0.583, 0.743], [0.745, 0.802, 0.923], [0.755, 0.198, 0.423], [0.805, 0.417, 0.243], [0.918, 0.759, 0.695], [0.928, 0.929, 0.429], [0.052, 0.368, 0.922], [0.078, 0.945, 0.367], [0.131, 0.349, 0.677], [0.133, 0.578, 0.054], [0.149, 0.824, 0.133], [0.176, 0.132, 0.850], [0.214, 0.257, 0.426], [0.286, 0.743, 0.926], [0.324, 0.868, 0.350], [0.351, 0.176, 0.633], [0.367, 0.422, 0.554], [0.369, 0.651, 0.177], [0.422, 0.055, 0.867], [0.448, 0.632, 0.422], [0.552, 0.132, 0.078], [0.578, 0.555, 0.633], [0.631, 0.151, 0.323], [0.633, 0.922, 0.946], [0.649, 0.676, 0.867], [0.676, 0.368, 0.150], [0.714, 0.243, 0.574], [0.786, 0.757, 0.074], [0.824, 0.632, 0.650], [0.851, 0.324, 0.367], [0.867, 0.078, 0.446], [0.869, 0.849, 0.823], [0.922, 0.445, 0.133], [0.948, 0.868, 0.578], [0.075, 0.578, 0.429], [0.425, 0.422, 0.929], [0.575, 0.922, 0.571], [0.925, 0.078, 0.071], [0.068, 0.715, 0.736], [0.166, 0.335, 0.158], [0.240, 0.065, 0.211], [0.260, 0.935, 0.711], [0.334, 0.665, 0.658], [0.432, 0.285, 0.236], [0.568, 0.785, 0.264], [0.666, 0.165, 0.842], [0.740, 0.435, 0.789], [0.760, 0.565, 0.289], [0.834, 0.835, 0.342], [0.932, 0.215, 0.764]], "rho_g_cm3": 4.906, "formation_energy_uncorrected_mev_per_atom": -1904.0}

# 9
{"formula": "Pu2NClO", "functional": "PBE", "state": "relaxed", "lattice_angstrom": [[6.507, -1.925, 0.000], [6.507, 1.925, 0.000], [-6.211, 0.000, 7.654]], "species": ["Pu", "Pu", "Pu", "Pu", "N", "N", "Cl", "Cl", "O", "O"], "frac_coords": [[0.068, 0.068, 0.311], [0.330, 0.330, 0.939], [0.670, 0.670, 0.061], [0.932, 0.932, 0.689], [0.142, 0.142, 0.916], [0.858, 0.858, 0.084], [0.330, 0.330, 0.391], [0.670, 0.670, 0.609], [0.442, 0.442, 0.815], [0.558, 0.558, 0.185]], "rho_g_cm3": 9.585, "formation_energy_uncorrected_mev_per_atom": -2029.6}

# 10
{"formula": "RbN2ClO", "functional": "PBE", "state": "relaxed", "lattice_angstrom": [[5.822, 0.000, 0.000], [0.000, 5.822, 0.000], [0.000, 0.000, 5.539]], "species": ["Rb", "N", "N", "Cl", "O"], "frac_coords": [[0.000, 0.000, 0.000], [0.000, 0.500, 0.000], [0.500, 0.000, 0.000], [0.500, 0.500, 0.500], [0.000, 0.000, 0.500]], "rho_g_cm3": 1.459, "formation_energy_uncorrected_mev_per_atom": 2076.4}

# 11
{"formula": "RbN2ClO", "functional": "PBE", "state": "relaxed", "lattice_angstrom": [[4.280, 0.000, 0.000], [0.000, 4.280, 0.000], [0.000, 0.000, 4.260]], "species": ["Rb", "N", "N", "Cl", "O"], "frac_coords": [[0.000, 0.000, 0.000], [0.000, 0.500, 0.500], [0.500, 0.000, 0.500], [0.500, 0.500, 0.500], [0.500, 0.500, 0.000]], "rho_g_cm3": 3.509, "formation_energy_uncorrected_mev_per_atom": 1666.4}

# 12
{"formula": "Rb3Ru2NCl8O2", "functional": "PBE", "state": "relaxed", "lattice_angstrom": [[8.193, -3.976, 0.000], [8.193, 3.976, 0.000], [-3.765, 0.000, 7.576]], "species": ["Rb", "Rb", "Rb", "Ru", "Ru", "N", "Cl", "Cl", "Cl", "Cl", "Cl", "Cl", "Cl", "Cl", "O", "O"], "frac_coords": [[0.000, 0.000, 0.000], [0.347, 0.347, 0.283], [0.653, 0.653, 0.717], [0.391, 0.391, 0.790], [0.609, 0.609, 0.210], [0.500, 0.500, 0.000], [0.121, 0.544, 0.915], [0.247, 0.671, 0.682], [0.329, 0.753, 0.318], [0.456, 0.879, 0.085], [0.544, 0.121, 0.915], [0.671, 0.247, 0.682], [0.753, 0.329, 0.318], [0.879, 0.456, 0.085], [0.294, 0.294, 0.590], [0.706, 0.706, 0.410]], "rho_g_cm3": 2.652, "formation_energy_uncorrected_mev_per_atom": -911.3}

# 13
{"formula": "Sr3NClO", "functional": "PBE", "state": "relaxed", "lattice_angstrom": [[7.315, 0.000, 0.000], [0.000, 3.809, 0.000], [-0.120, 0.000, 9.487]], "species": ["Sr", "Sr", "Sr", "Sr", "Sr", "Sr", "N", "N", "Cl", "Cl", "O", "O"], "frac_coords": [[0.071, 0.250, 0.163], [0.195, 0.750, 0.517], [0.340, 0.250, 0.852], [0.660, 0.750, 0.148], [0.805, 0.250, 0.483], [0.929, 0.750, 0.837], [0.077, 0.250, 0.673], [0.923, 0.750, 0.327], [0.431, 0.250, 0.328], [0.569, 0.750, 0.672], [0.220, 0.750, 0.987], [0.780, 0.250, 0.013]], "rho_g_cm3": 4.125, "formation_energy_uncorrected_mev_per_atom": -1796.5}

# 14
{"formula": "Os2NCl", "functional": "PBE", "state": "relaxed", "lattice_angstrom": [[5.802, 0.000, 0.000], [0.000, 5.802, 0.000], [0.000, 0.000, 5.802]], "species": ["Os", "Os", "Os", "Os", "Os", "Os", "Os", "Os", "N", "N", "N", "N", "Cl", "Cl", "Cl", "Cl"], "frac_coords": [[0.250, 0.250, 0.250], [0.250, 0.250, 0.750], [0.250, 0.750, 0.250], [0.250, 0.750, 0.750], [0.750, 0.250, 0.250], [0.750, 0.250, 0.750], [0.750, 0.750, 0.250], [0.750, 0.750, 0.750], [0.000, 0.000, 0.000], [0.000, 0.500, 0.500], [0.500, 0.000, 0.500], [0.500, 0.500, 0.000], [0.000, 0.000, 0.500], [0.000, 0.500, 0.000], [0.500, 0.000, 0.000], [0.500, 0.500, 0.500]], "rho_g_cm3": 14.619, "polymorph_energy_ev_per_atom": 0.967, "formation_energy_uncorrected_mev_per_atom": 1920.3}

# 15
{"formula": "OsNCl2", "functional": "PBE", "state": "relaxed", "lattice_angstrom": [[5.985, 0.000, 0.000], [0.000, 5.985, 0.000], [0.000, 0.000, 5.985]], "species": ["Os", "Os", "Os", "Os", "N", "N", "N", "N", "Cl", "Cl", "Cl", "Cl", "Cl", "Cl", "Cl", "Cl"], "frac_coords": [[0.000, 0.000, 0.000], [0.000, 0.500, 0.500], [0.500, 0.000, 0.500], [0.500, 0.500, 0.000], [0.000, 0.000, 0.500], [0.000, 0.500, 0.000], [0.500, 0.000, 0.000], [0.500, 0.500, 0.500], [0.250, 0.250, 0.250], [0.250, 0.250, 0.750], [0.250, 0.750, 0.250], [0.250, 0.750, 0.750], [0.750, 0.250, 0.250], [0.750, 0.250, 0.750], [0.750, 0.750, 0.250], [0.750, 0.750, 0.750]], "rho_g_cm3": 8.525, "polymorph_energy_ev_per_atom": 0.587, "formation_energy_uncorrected_mev_per_atom": 2080.1}

# 16
{"formula": "OsNCl3", "functional": "PBE", "state": "relaxed", "lattice_angstrom": [[4.684, 0.000, 0.000], [0.000, 4.684, 0.000], [0.000, 0.000, 4.684]], "species": ["Os", "N", "Cl", "Cl", "Cl"], "frac_coords": [[0.000, 0.000, 0.000], [0.500, 0.500, 0.500], [0.000, 0.000, 0.500], [0.000, 0.500, 0.000], [0.500, 0.000, 0.000]], "rho_g_cm3": 5.019, "polymorph_energy_ev_per_atom": 1.717, "formation_energy_uncorrected_mev_per_atom": 1562.5}

# 17
{"formula": "Os3NCl", "functional": "PBE", "state": "relaxed", "lattice_angstrom": [[4.321, 0.000, 0.000], [0.000, 4.321, 0.000], [0.000, 0.000, 4.321]], "species": ["Os", "Os", "Os", "N", "Cl"], "frac_coords": [[0.000, 0.000, 0.500], [0.000, 0.500, 0.000], [0.500, 0.000, 0.000], [0.500, 0.500, 0.500], [0.000, 0.000, 0.000]], "rho_g_cm3": 12.767, "formation_energy_uncorrected_mev_per_atom": 3213.7}

# 18
{"formula": "Os2NCl", "functional": "PBE", "state": "relaxed", "lattice_angstrom": [[4.957, 0.000, 0.000], [0.000, 4.957, 0.000], [0.000, 0.000, 10.115]], "species": ["Os", "Os", "Os", "Os", "Os", "Os", "Os", "Os", "N", "N", "N", "N", "Cl", "Cl", "Cl", "Cl"], "frac_coords": [[0.160, 0.250, 0.125], [0.250, 0.660, 0.375], [0.250, 0.840, 0.875], [0.340, 0.250, 0.625], [0.660, 0.750, 0.625], [0.750, 0.160, 0.875], [0.750, 0.340, 0.375], [0.840, 0.750, 0.125], [0.000, 0.000, 0.000], [0.000, 0.500, 0.250], [0.500, 0.000, 0.750], [0.500, 0.500, 0.500], [0.000, 0.000, 0.500], [0.000, 0.500, 0.750], [0.500, 0.000, 0.250], [0.500, 0.500, 0.000]], "rho_g_cm3": 11.490, "polymorph_energy_ev_per_atom": 0.000, "formation_energy_uncorrected_mev_per_atom": 953.6}

# 19
{"formula": "OsNCl2", "functional": "PBE", "state": "relaxed", "lattice_angstrom": [[6.071, 0.000, 0.000], [0.000, 6.071, 0.000], [0.000, 0.000, 7.203]], "species": ["Os", "Os", "Os", "Os", "N", "N", "N", "N", "Cl", "Cl", "Cl", "Cl", "Cl", "Cl", "Cl", "Cl"], "frac_coords": [[0.000, 0.000, 0.000], [0.000, 0.500, 0.250], [0.500, 0.000, 0.750], [0.500, 0.500, 0.500], [0.000, 0.000, 0.500], [0.000, 0.500, 0.750], [0.500, 0.000, 0.250], [0.500, 0.500, 0.000], [0.239, 0.250, 0.125], [0.250, 0.739, 0.375], [0.250, 0.761, 0.875], [0.261, 0.250, 0.625], [0.739, 0.750, 0.625], [0.750, 0.239, 0.875], [0.750, 0.261, 0.375], [0.761, 0.750, 0.125]], "rho_g_cm3": 6.885, "polymorph_energy_ev_per_atom": 0.438, "formation_energy_uncorrected_mev_per_atom": 1931.8}

# 20
{"formula": "OsN2Cl6", "functional": "PBE", "state": "relaxed", "lattice_angstrom": [[4.388, 2.533, 5.919], [-4.388, 2.533, 5.919], [0.000, -5.066, 5.919]], "species": ["Os", "N", "N", "Cl", "Cl", "Cl", "Cl", "Cl", "Cl"], "frac_coords": [[0.000, 0.000, 0.000], [0.606, 0.606, 0.606], [0.906, 0.906, 0.906], [0.108, 0.784, 0.250], [0.250, 0.108, 0.784], [0.402, 0.531, 0.774], [0.531, 0.774, 0.402], [0.774, 0.402, 0.531], [0.784, 0.250, 0.108]], "rho_g_cm3": 1.813, "polymorph_energy_ev_per_atom": 0.000, "formation_energy_uncorrected_mev_per_atom": 244.2}

# 21
{"formula": "OsN2Cl6", "functional": "PBE", "state": "relaxed", "lattice_angstrom": [[0.000, 5.079, 5.079], [5.079, 0.000, 5.079], [5.079, 5.079, 0.000]], "species": ["Os", "N", "N", "Cl", "Cl", "Cl", "Cl", "Cl", "Cl"], "frac_coords": [[0.000, 0.000, 0.000], [0.250, 0.250, 0.250], [0.750, 0.750, 0.750], [0.226, 0.226, 0.774], [0.226, 0.774, 0.226], [0.226, 0.774, 0.774], [0.774, 0.226, 0.226], [0.774, 0.226, 0.774], [0.774, 0.774, 0.226]], "rho_g_cm3": 2.732, "polymorph_energy_ev_per_atom": 0.671, "formation_energy_uncorrected_mev_per_atom": 914.9}